No. 1
The following is a DFT calculation (PBE) of an optimized crystal structure of Mg3TaBr.

The space group is Pm-3m (No. 221) and the conventional cell measures 5.006, 5.006 and 5.006 Å, with angles of 90.00, 90.00 and 90.00 degrees. The distinct sites, in fractional coordinates, are Mg at (0.000, 0.000, 0.500), Ta at (0.500, 0.500, 0.500) and Br at (0.000, 0.000, 0.000).

As for the raw formation energy: 4.8 eV per formula unit.

No. 2
The following is a DFT calculation (PBE) of an optimized crystal structure of MgTaBr2.

The space group is Pmmm (No. 47) and the conventional cell measures 3.168, 4.562 and 6.087 Å, with angles of 90.00, 90.00 and 90.00 degrees. The distinct sites, in fractional coordinates, are Mg at (0.000, 0.000, 0.000), Ta at (0.500, 0.000, 0.500), Br at (0.000, 0.500, 0.500) and Br at (0.500, 0.500, 0.000).

As for the raw formation energy: 1.1 eV per formula unit.

No. 3
The following is a DFT calculation (PBE) of an optimized crystal structure of MgTa2Br.

The space group is P4/mmm (No. 123) and the conventional cell measures 3.031, 3.031 and 8.137 Å, with angles of 90.00, 90.00 and 90.00 degrees. The distinct sites, in fractional coordinates, are Mg at (0.000, 0.000, 0.000), Ta at (0.500, 0.500, 0.266) and Br at (0.000, 0.000, 0.500).

As for the raw formation energy: 2.6 eV per formula unit.

No. 4
The following is a DFT calculation (PBE) of an optimized crystal structure of MgTaBr2.

The space group is P4/mmm (No. 123) and the conventional cell measures 3.194, 3.194 and 9.839 Å, with angles of 90.00, 90.00 and 90.00 degrees. The distinct sites, in fractional coordinates, are Mg at (0.000, 0.000, 0.000), Ta at (0.000, 0.000, 0.500) and Br at (0.500, 0.500, 0.333).

As for the raw formation energy: 0.6 eV per formula unit.

No. 5
The following is a DFT calculation (PBE) of an optimized crystal structure of MgTaBr2.

The space group is F-43m (No. 216) and the conventional cell measures 7.257, 7.257 and 7.257 Å, with angles of 90.00, 90.00 and 90.00 degrees. The distinct sites, in fractional coordinates, are Mg at (0.000, 0.000, 0.000), Ta at (0.250, 0.250, 0.250), Br at (0.000, 0.000, 0.500) and Br at (0.250, 0.250, 0.750).

As for the raw formation energy: 3.5 eV per formula unit.

No. 6
The following is a DFT calculation (PBE) of an optimized crystal structure of MgTaBr2.

The space group is P4/mmm (No. 123) and the conventional cell measures 4.993, 4.993 and 3.217 Å, with angles of 90.00, 90.00 and 90.00 degrees. The distinct sites, in fractional coordinates, are Mg at (0.000, 0.000, 0.000), Ta at (0.500, 0.500, 0.000) and Br at (0.000, 0.500, 0.500).

As for the raw formation energy: 2.0 eV per formula unit.

No. 7
The following is a DFT calculation (PBE) of an optimized crystal structure of Mg2TaBr.

The space group is P2/m (No. 10) and the conventional cell measures 3.072, 5.406 and 5.185 Å, with angles of 90.00, 93.93 and 90.00 degrees. The distinct sites, in fractional coordinates, are Mg at (0.224, 0.000, 0.239), Ta at (0.500, 0.500, 0.000) and Br at (0.500, 0.500, 0.500).

As for the raw formation energy: 1.6 eV per formula unit.

No. 8
The following is a DFT calculation (PBE) of an optimized crystal structure of MgTa2Br.

The space group is Cm (No. 8) and the conventional cell measures 10.117, 3.035 and 5.532 Å, with angles of 90.00, 110.06 and 90.00 degrees. The distinct sites, in fractional coordinates, are Mg at (0.000, 0.000, 0.000), Ta at (0.052, 0.500, 0.504), Ta at (0.298, 0.500, 0.351) and Br at (0.246, 0.000, 0.908).

As for the raw formation energy: 2.0 eV per formula unit.

No. 9
The following is a DFT calculation (PBE) of an optimized crystal structure of MgTa2Br.

The space group is Cmmm (No. 65) and the conventional cell measures 3.102, 5.193 and 9.803 Å, with angles of 90.00, 90.00 and 90.00 degrees. The distinct sites, in fractional coordinates, are Mg at (0.000, 0.000, 0.000), Ta at (0.000, 0.500, 0.259) and Br at (0.000, 0.000, 0.500).

As for the raw formation energy: 2.3 eV per formula unit.

No. 10
The following is a DFT calculation (PBE) of an optimized crystal structure of MgTaBr2.

The space group is Amm2 (No. 38) and the conventional cell measures 5.143, 3.305 and 10.194 Å, with angles of 90.00, 90.00 and 90.00 degrees. The distinct sites, in fractional coordinates, are Mg at (0.000, 0.000, 0.000), Ta at (0.500, 0.000, 0.621), Br at (0.000, 0.000, 0.717) and Br at (0.500, 0.000, 0.328).

As for the raw formation energy: 0.4 eV per formula unit.

No. 11
The following is a DFT calculation (PBE) of an optimized crystal structure of Mg2TaBr.

The space group is Pmm2 (No. 25) and the conventional cell measures 3.063, 4.685 and 5.848 Å, with angles of 90.00, 90.00 and 90.00 degrees. The distinct sites, in fractional coordinates, are Mg at (0.000, 0.000, 0.000), Mg at (0.500, 0.500, 0.258), Ta at (0.000, 0.000, 0.486) and Br at (0.500, 0.500, 0.726).

As for the raw formation energy: 1.6 eV per formula unit.

No. 12
The following is a DFT calculation (PBE) of an optimized crystal structure of MgTaBr.

The space group is Cm (No. 8) and the conventional cell measures 4.415, 4.443 and 6.656 Å, with angles of 90.00, 91.65 and 90.00 degrees. The distinct sites, in fractional coordinates, are Mg at (0.000, 0.000, 0.000), Ta at (0.012, 0.500, 0.296) and Br at (0.018, 0.000, 0.563).

As for the raw formation energy: 0.5 eV per formula unit.

No. 13
The following is a DFT calculation (PBE) of an optimized crystal structure of Mg2TaBr.

The space group is Pmmm (No. 47) and the conventional cell measures 3.101, 4.982 and 5.341 Å, with angles of 90.00, 90.00 and 90.00 degrees. The distinct sites, in fractional coordinates, are Mg at (0.000, 0.000, 0.000), Mg at (0.500, 0.500, 0.000), Ta at (0.000, 0.500, 0.500) and Br at (0.500, 0.000, 0.500).

As for the raw formation energy: 1.9 eV per formula unit.

No. 14
The following is a DFT calculation (PBE) of an optimized crystal structure of Mg2TaBr.

The space group is Imm2 (No. 44) and the conventional cell measures 3.143, 4.937 and 13.756 Å, with angles of 90.00, 90.00 and 90.00 degrees. The distinct sites, in fractional coordinates, are Mg at (0.000, 0.000, 0.000), Mg at (0.000, 0.500, 0.126), Ta at (0.000, 0.500, 0.675) and Br at (0.000, 0.000, 0.329).

As for the raw formation energy: 0.9 eV per formula unit.

No. 15
The following is a DFT calculation (PBE) of an optimized crystal structure of MgTaBr3.

The space group is Pm-3m (No. 221) and the conventional cell measures 5.192, 5.192 and 5.192 Å, with angles of 90.00, 90.00 and 90.00 degrees. The distinct sites, in fractional coordinates, are Mg at (0.000, 0.000, 0.000), Ta at (0.500, 0.500, 0.500) and Br at (0.000, 0.000, 0.500).

As for the raw formation energy: 1.5 eV per formula unit.

No. 16
The following is a DFT calculation (PBE) of an optimized crystal structure of MgTaBr2.

The space group is R-3m (No. 166, hexagonal axes) and the conventional cell measures 3.2809, 3.2809 and 31.7059 Å, with angles of 90.00, 90.00 and 120.00 degrees. The distinct sites, in fractional coordinates, are Mg at (0.0000, 0.0000, 0.0000), Ta at (0.0000, 0.0000, 0.5000) and Br at (0.0000, 0.0000, 0.2273).

As for the raw formation energy: -0.6 eV per formula unit.

No. 17
The following is a DFT calculation (PBE) of an optimized crystal structure of Mg2TaBr.

The space group is Immm (No. 71) and the conventional cell measures 3.171, 5.083 and 9.965 Å, with angles of 90.00, 90.00 and 90.00 degrees. The distinct sites, in fractional coordinates, are Mg at (0.000, 0.000, 0.241), Ta at (0.000, 0.500, 0.000) and Br at (0.000, 0.500, 0.500).

As for the raw formation energy: 1.7 eV per formula unit.

No. 18
The following is a DFT calculation (PBE) of an optimized crystal structure of MgTaBr2.

The space group is P4mm (No. 99) and the conventional cell measures 3.279, 3.279 and 8.851 Å, with angles of 90.00, 90.00 and 90.00 degrees. The distinct sites, in fractional coordinates, are Mg at (0.000, 0.000, 0.000), Ta at (0.500, 0.500, 0.242), Br at (0.000, 0.000, 0.414) and Br at (0.500, 0.500, 0.822).

As for the raw formation energy: -0.9 eV per formula unit.

No. 19
The following is a DFT calculation (PBE) of an optimized crystal structure of MgTa2Br.

The space group is F-43m (No. 216) and the conventional cell measures 6.770, 6.770 and 6.770 Å, with angles of 90.00, 90.00 and 90.00 degrees. The distinct sites, in fractional coordinates, are Mg at (0.000, 0.000, 0.000), Ta at (0.000, 0.000, 0.500), Ta at (0.250, 0.250, 0.250) and Br at (0.250, 0.250, 0.750).

As for the raw formation energy: 3.4 eV per formula unit.

No. 20
The following is a DFT calculation (PBE) of an optimized crystal structure of MgTa2Br.

The space group is P4mm (No. 99) and the conventional cell measures 3.491, 3.491 and 7.920 Å, with angles of 90.00, 90.00 and 90.00 degrees. The distinct sites, in fractional coordinates, are Mg at (0.000, 0.000, 0.000), Ta at (0.000, 0.000, 0.363), Ta at (0.500, 0.500, 0.221) and Br at (0.500, 0.500, 0.821).

As for the raw formation energy: 0.9 eV per formula unit.

No. 21
The following is a DFT calculation (PBE) of an optimized crystal structure of Mg2TaBr.

The space group is Amm2 (No. 38) and the conventional cell measures 4.830, 3.089 and 11.156 Å, with angles of 90.00, 90.00 and 90.00 degrees. The distinct sites, in fractional coordinates, are Mg at (0.000, 0.000, 0.000), Mg at (0.500, 0.000, 0.360), Ta at (0.500, 0.000, 0.619) and Br at (0.000, 0.000, 0.727).

As for the raw formation energy: 0.8 eV per formula unit.

No. 22
The following is a DFT calculation (PBE) of an optimized crystal structure of MgTaBr2.

The space group is Cm (No. 8) and the conventional cell measures 10.983, 3.218 and 7.990 Å, with angles of 90.00, 112.91 and 90.00 degrees. The distinct sites, in fractional coordinates, are Mg at (0.000, 0.000, 0.000), Ta at (0.280, 0.000, 0.033), Br at (0.191, 0.500, 0.749) and Br at (0.335, 0.500, 0.314).

As for the raw formation energy: -0.3 eV per formula unit.

No. 23
The following is a DFT calculation (PBE) of an optimized crystal structure of TbMgBr4.

The space group is P2/m (No. 10) and the conventional cell measures 7.308, 3.757 and 7.622 Å, with angles of 90.00, 105.59 and 90.00 degrees. The distinct sites, in fractional coordinates, are Tb at (0.000, 0.000, 0.000), Mg at (0.500, 0.500, 0.000), Br at (0.269, 0.500, 0.228) and Br at (0.280, 0.000, 0.793).

As for the raw formation energy: -9.0 eV per formula unit.

No. 24
The following is a DFT calculation (PBE) of an optimized crystal structure of TbMgBr.

The space group is Amm2 (No. 38) and the conventional cell measures 15.525, 3.661 and 6.337 Å, with angles of 90.00, 90.00 and 90.00 degrees. The distinct sites, in fractional coordinates, are Tb at (0.168, 0.000, 0.000), Mg at (0.000, 0.000, 0.334), Mg at (0.500, 0.000, 0.676) and Br at (0.300, 0.000, 0.667).

As for the raw formation energy: -1.9 eV per formula unit.

No. 25
The following is a DFT calculation (PBE) of an optimized crystal structure of TbMgTlBr6.

The space group is P-31c (No. 163) and the conventional cell measures 7.1916, 7.1916 and 14.5678 Å, with angles of 90.00, 90.00 and 120.00 degrees. The distinct sites, in fractional coordinates, are Tb at (0.3333, 0.6667, 0.2500), Mg at (0.3333, 0.6667, 0.7500), Tl at (0.0000, 0.0000, 0.0000) and Br at (0.0121, 0.3784, 0.6411).

As for the raw formation energy: -13.7 eV per formula unit.

No. 26
The following is a DFT calculation (PBE) of an optimized crystal structure of MgTc2Br.

The space group is I-42d (No. 122) and the conventional cell measures 7.575, 7.575 and 5.114 Å, with angles of 90.00, 90.00 and 90.00 degrees. The distinct sites, in fractional coordinates, are Mg at (0.000, 0.000, 0.000), Tc at (0.183, 0.750, 0.625) and Br at (0.000, 0.000, 0.500).

As for the raw formation energy: 4.2 eV per formula unit.

No. 27
The following is a DFT calculation (PBE) of an optimized crystal structure of Mg3TcBr.

The space group is Pm-3m (No. 221) and the conventional cell measures 5.273, 5.273 and 5.273 Å, with angles of 90.00, 90.00 and 90.00 degrees. The distinct sites, in fractional coordinates, are Mg at (0.000, 0.000, 0.500), Tc at (0.000, 0.000, 0.000) and Br at (0.500, 0.500, 0.500).

As for the raw formation energy: 3.2 eV per formula unit.

No. 28
The following is a DFT calculation (PBE) of an optimized crystal structure of MgTcBr2.

The space group is I-42d (No. 122) and the conventional cell measures 5.756, 5.756 and 12.179 Å, with angles of 90.00, 90.00 and 90.00 degrees. The distinct sites, in fractional coordinates, are Mg at (0.000, 0.000, 0.000), Tc at (0.000, 0.000, 0.500) and Br at (0.238, 0.250, 0.625).

As for the raw formation energy: 1.7 eV per formula unit.

No. 29
The following is a DFT calculation (PBE) of an optimized crystal structure of MgTc2Br.

The space group is P4mm (No. 99) and the conventional cell measures 3.077, 3.077 and 7.568 Å, with angles of 90.00, 90.00 and 90.00 degrees. The distinct sites, in fractional coordinates, are Mg at (0.000, 0.000, 0.000), Tc at (0.000, 0.000, 0.430), Tc at (0.500, 0.500, 0.249) and Br at (0.500, 0.500, 0.717).

As for the raw formation energy: 0.4 eV per formula unit.

Size of the total moment, respectively: 2.13; 0.28; 0.00; 0.00; 12.14; 0.54; 0.00; 0.00; 0.00; 0.00; 0.00; 0.00; 0.00; 0.00; 3.98; 0.00; 0.00; 1.02; 2.10; 0.00; 0.00; 0.43; 0.00; 0.00; 0.00; 0.00; 2.48; 0.00; 0.00 μB per cell.